# CoHIrRu2

CoHIrRu2 after structural relaxation (PBE, Alexandria).

a = 3.8232 Å, b = 3.8232 Å, c = 3.7823 Å
α = 90.00°, β = 90.00°, γ = 90.00°
Space group P4/mmm (No. 123)
Unique sites:
Co: 0.0000 0.0000 0.0000 (multiplicity 1)
H: 0.0000 0.0000 0.5000 (multiplicity 1)
Ir: 0.5000 0.5000 0.0000 (multiplicity 1)
Ru: 0.0000 0.5000 0.5000 (multiplicity 2)

Spin magnetization, μB/cell: 0.00
V, Å³ per atom: 11.057
Offset from the most stable computed form, eV/atom: 0.0000

# CoHIrRu2

CoHIrRu2 after structural relaxation (PBE, Alexandria).

a = 3.8127 Å, b = 3.8127 Å, c = 3.8483 Å
α = 90.00°, β = 90.00°, γ = 90.00°
Space group P4/mmm (No. 123)
Unique sites:
Co: 0.0000 0.0000 0.0000 (multiplicity 1)
H: 0.5000 0.5000 0.5000 (multiplicity 1)
Ir: 0.5000 0.5000 0.0000 (multiplicity 1)
Ru: 0.0000 0.5000 0.5000 (multiplicity 2)

Spin magnetization, μB/cell: 0.00
V, Å³ per atom: 11.188
Offset from the most stable computed form, eV/atom: 0.0723

# CoHIrRu2

CoHIrRu2 after structural relaxation (PBE, Alexandria).

a = 4.7856 Å, b = 4.7856 Å, c = 3.0523 Å
α = 90.00°, β = 90.00°, γ = 90.00°
Space group P4/mmm (No. 123)
Unique sites:
Co: 0.0000 0.0000 0.0000 (multiplicity 1)
H: 0.5000 0.5000 0.0000 (multiplicity 1)
Ir: 0.5000 0.5000 0.5000 (multiplicity 1)
Ru: 0.0000 0.5000 0.5000 (multiplicity 2)

Spin magnetization, μB/cell: 0.00
V, Å³ per atom: 13.981
Offset from the most stable computed form, eV/atom: 1.1434

# Co2SbHIr

Co2SbHIr after structural relaxation (PBE, Alexandria).

a = 3.8753 Å, b = 3.8753 Å, c = 3.8202 Å
α = 90.00°, β = 90.00°, γ = 90.00°
Space group P4/mmm (No. 123)
Unique sites:
Co: 0.0000 0.5000 0.0000 (multiplicity 2)
Sb: 0.0000 0.0000 0.5000 (multiplicity 1)
H: 0.5000 0.5000 0.0000 (multiplicity 1)
Ir: 0.5000 0.5000 0.5000 (multiplicity 1)

Spin magnetization, μB/cell: 0.91
V, Å³ per atom: 11.475
Calculated total energy, eV for the cell shown: -30.40

# ScCo2HIr

ScCo2HIr after structural relaxation (PBE, Alexandria).

a = 3.8141 Å, b = 3.8141 Å, c = 3.8538 Å
α = 90.00°, β = 90.00°, γ = 90.00°
Space group P4/mmm (No. 123)
Unique sites:
Sc: 0.0000 0.0000 0.0000 (multiplicity 1)
Co: 0.0000 0.5000 0.5000 (multiplicity 2)
H: 0.5000 0.5000 0.5000 (multiplicity 1)
Ir: 0.5000 0.5000 0.0000 (multiplicity 1)

Spin magnetization, μB/cell: 0.05
V, Å³ per atom: 11.213
Offset from the most stable computed form, eV/atom: 0.0199

# ScCoHIr2

ScCoHIr2 after structural relaxation (PBE, Alexandria).

a = 3.9677 Å, b = 3.9677 Å, c = 3.8222 Å
α = 90.00°, β = 90.00°, γ = 90.00°
Space group P4/mmm (No. 123)
Unique sites:
Sc: 0.0000 0.0000 0.0000 (multiplicity 1)
Co: 0.5000 0.5000 0.0000 (multiplicity 1)
H: 0.5000 0.5000 0.5000 (multiplicity 1)
Ir: 0.0000 0.5000 0.5000 (multiplicity 2)

Spin magnetization, μB/cell: 0.17
V, Å³ per atom: 12.034
Calculated total energy, eV for the cell shown: -36.33

# ScCo2HIr

ScCo2HIr after structural relaxation (PBE, Alexandria).

a = 3.7279 Å, b = 3.7279 Å, c = 3.9957 Å
α = 90.00°, β = 90.00°, γ = 90.00°
Space group P4/mmm (No. 123)
Unique sites:
Sc: 0.0000 0.0000 0.0000 (multiplicity 1)
Co: 0.0000 0.5000 0.5000 (multiplicity 2)
H: 0.0000 0.0000 0.5000 (multiplicity 1)
Ir: 0.5000 0.5000 0.0000 (multiplicity 1)

Spin magnetization, μB/cell: 0.00
V, Å³ per atom: 11.106
Offset from the most stable computed form, eV/atom: 0.0000

# Co2SnHIr

Co2SnHIr after structural relaxation (PBE, Alexandria).

a = 3.8579 Å, b = 3.8579 Å, c = 3.8468 Å
α = 90.00°, β = 90.00°, γ = 90.00°
Space group P4/mmm (No. 123)
Unique sites:
Co: 0.0000 0.5000 0.0000 (multiplicity 2)
Sn: 0.0000 0.0000 0.5000 (multiplicity 1)
H: 0.5000 0.5000 0.0000 (multiplicity 1)
Ir: 0.5000 0.5000 0.5000 (multiplicity 1)

Spin magnetization, μB/cell: 0.00
V, Å³ per atom: 11.451
Calculated total energy, eV for the cell shown: -30.42

What is the spin magnetization in the second record?
0.00 μB/cell

Please write out number 1 again, unchanged.
# CoHIrRu2

CoHIrRu2 after structural relaxation (PBE, Alexandria).

a = 3.8232 Å, b = 3.8232 Å, c = 3.7823 Å
α = 90.00°, β = 90.00°, γ = 90.00°
Space group P4/mmm (No. 123)
Unique sites:
Co: 0.0000 0.0000 0.0000 (multiplicity 1)
H: 0.0000 0.0000 0.5000 (multiplicity 1)
Ir: 0.5000 0.5000 0.0000 (multiplicity 1)
Ru: 0.0000 0.5000 0.5000 (multiplicity 2)

Spin magnetization, μB/cell: 0.00
V, Å³ per atom: 11.057
Offset from the most stable computed form, eV/atom: 0.0000

Please write out number 5 again, unchanged.
# ScCo2HIr

ScCo2HIr after structural relaxation (PBE, Alexandria).

a = 3.8141 Å, b = 3.8141 Å, c = 3.8538 Å
α = 90.00°, β = 90.00°, γ = 90.00°
Space group P4/mmm (No. 123)
Unique sites:
Sc: 0.0000 0.0000 0.0000 (multiplicity 1)
Co: 0.0000 0.5000 0.5000 (multiplicity 2)
H: 0.5000 0.5000 0.5000 (multiplicity 1)
Ir: 0.5000 0.5000 0.0000 (multiplicity 1)

Spin magnetization, μB/cell: 0.05
V, Å³ per atom: 11.213
Offset from the most stable computed form, eV/atom: 0.0199

Repeat the first record exactly.
# CoHIrRu2

CoHIrRu2 after structural relaxation (PBE, Alexandria).

a = 3.8232 Å, b = 3.8232 Å, c = 3.7823 Å
α = 90.00°, β = 90.00°, γ = 90.00°
Space group P4/mmm (No. 123)
Unique sites:
Co: 0.0000 0.0000 0.0000 (multiplicity 1)
H: 0.0000 0.0000 0.5000 (multiplicity 1)
Ir: 0.5000 0.5000 0.0000 (multiplicity 1)
Ru: 0.0000 0.5000 0.5000 (multiplicity 2)

Spin magnetization, μB/cell: 0.00
V, Å³ per atom: 11.057
Offset from the most stable computed form, eV/atom: 0.0000